DFT (PBE) results for crystalline AcSm2Y4Sc at its relaxed geometry.

abc: 5.091 5.091 10.188
angles: 90.00 90.00 90.00
Fractional positions:
Ac: 0.000 0.000 0.000
Sm: 0.000 0.000 0.500
Sm: 0.500 0.500 0.000
Y: 0.000 0.500 0.263
Y: 0.000 0.500 0.737
Y: 0.500 0.000 0.263
Y: 0.500 0.000 0.737
Sc: 0.500 0.500 0.500

Calculated values
For the density of states at the Fermi level, the calculation gives 1.6556 states/eV/atom. For the formation enthalpy at 0 K, the calculation gives 0.06 eV/atom. Its calculated volume is 264.1 Å³/cell.



DFT (PBE) results for crystalline Ac2ScSn3 at its relaxed geometry.

abc: 7.287 7.287 7.287
angles: 138.22 126.65 69.96
Fractional positions:
Ac: 0.183 0.183 0.000
Ac: 0.817 0.817 0.000
Sc: 0.500 0.500 0.000
Sn: 0.000 0.500 0.500
Sn: 0.375 0.875 0.500
Sn: 0.625 0.125 0.500

Calculated values
For the density of states at the Fermi level, the calculation gives 0.9433 states/eV/atom. For the formation enthalpy at 0 K, the calculation gives -0.51 eV/atom. Its calculated volume is 203.0 Å³/cell.



DFT (PBE) results for crystalline Ac3ScSn4 at its relaxed geometry.

abc: 11.505 6.729 6.694
angles: 90.00 90.00 90.00
Fractional positions:
Ac: 0.000 0.065 0.000
Ac: 0.243 0.281 0.325
Ac: 0.257 0.719 0.825
Ac: 0.500 0.935 0.500
Ac: 0.743 0.719 0.825
Ac: 0.757 0.281 0.325
Sc: 0.000 0.546 0.568
Sc: 0.500 0.454 0.068
Sn: 0.000 0.016 0.519
Sn: 0.000 0.549 0.060
Sn: 0.200 0.779 0.327
Sn: 0.300 0.221 0.827
Sn: 0.500 0.451 0.560
Sn: 0.500 0.984 0.019
Sn: 0.700 0.221 0.827
Sn: 0.800 0.779 0.327

Calculated values
For the density of states at the Fermi level, the calculation gives 0.8268 states/eV/atom. For the formation enthalpy at 0 K, the calculation gives -0.51 eV/atom. Its calculated volume is 518.2 Å³/cell.



DFT (PBE) results for crystalline AcSc2Sn3 at its relaxed geometry.

abc: 7.291 7.291 6.698
angles: 90.00 90.00 72.14
Fractional positions:
Ac: 0.152 0.848 0.750
Ac: 0.848 0.152 0.250
Sc: 0.291 0.291 0.000
Sc: 0.291 0.291 0.500
Sc: 0.709 0.709 0.000
Sc: 0.709 0.709 0.500
Sn: 0.048 0.645 0.250
Sn: 0.355 0.952 0.250
Sn: 0.476 0.524 0.250
Sn: 0.524 0.476 0.750
Sn: 0.645 0.048 0.750
Sn: 0.952 0.355 0.750

Calculated values
For the density of states at the Fermi level, the calculation gives 0.6718 states/eV/atom. For the formation enthalpy at 0 K, the calculation gives -0.56 eV/atom. Its calculated volume is 338.9 Å³/cell.



DFT (PBE) results for crystalline AcSc3Sn2 at its relaxed geometry.

abc: 9.398 9.398 9.189
angles: 116.83 116.83 28.46
Fractional positions:
Ac: 0.140 0.140 0.071
Ac: 0.860 0.860 0.929
Sc: 0.051 0.051 0.393
Sc: 0.312 0.312 0.539
Sc: 0.413 0.413 0.331
Sc: 0.587 0.587 0.669
Sc: 0.688 0.688 0.461
Sc: 0.949 0.949 0.607
Sn: 0.204 0.204 0.718
Sn: 0.480 0.480 0.829
Sn: 0.520 0.520 0.171
Sn: 0.796 0.796 0.282

Calculated values
For the density of states at the Fermi level, the calculation gives 1.1646 states/eV/atom. For the formation enthalpy at 0 K, the calculation gives -0.50 eV/atom. Its calculated volume is 342.3 Å³/cell.



DFT (PBE) results for crystalline AcScSn at its relaxed geometry.

abc: 9.275 9.275 9.275
angles: 150.77 150.77 41.81
Fractional positions:
Ac: 0.173 0.173 0.000
Ac: 0.827 0.827 0.000
Sc: 0.000 0.500 0.500
Sc: 0.500 0.000 0.500
Sn: 0.383 0.383 0.000
Sn: 0.617 0.617 0.000

Calculated values
For the density of states at the Fermi level, the calculation gives 1.0278 states/eV/atom. The value obtained for the energy above the lowest structure with this stoichiometry is 0 meV per atom. For the formation enthalpy at 0 K, the calculation gives -0.61 eV/atom. Its calculated volume is 189.8 Å³/cell.



DFT (PBE) results for crystalline Ac3Sc2Sn3 at its relaxed geometry.

abc: 12.020 12.020 12.020
angles: 158.48 155.94 32.50
Fractional positions:
Ac: 0.000 0.000 0.000
Ac: 0.375 0.875 0.500
Ac: 0.625 0.125 0.500
Sc: 0.254 0.254 0.000
Sc: 0.746 0.746 0.000
Sn: 0.167 0.667 0.500
Sn: 0.500 0.500 0.000
Sn: 0.833 0.333 0.500

Calculated values
For the density of states at the Fermi level, the calculation gives 1.3607 states/eV/atom. The value obtained for the energy above the lowest structure with this stoichiometry is 37 meV per atom. For the formation enthalpy at 0 K, the calculation gives -0.52 eV/atom. Its calculated volume is 259.6 Å³/cell.



DFT (PBE) results for crystalline Ac3Sc2Sn3 at its relaxed geometry.

abc: 9.461 9.461 6.579
angles: 90.00 90.00 120.00
Fractional positions:
Ac: 0.000 0.250 0.250
Ac: 0.000 0.750 0.750
Ac: 0.250 0.000 0.250
Ac: 0.250 0.250 0.750
Ac: 0.750 0.000 0.750
Ac: 0.750 0.750 0.250
Sc: 0.333 0.667 0.000
Sc: 0.333 0.667 0.500
Sc: 0.667 0.333 0.000
Sc: 0.667 0.333 0.500
Sn: 0.000 0.403 0.750
Sn: 0.000 0.597 0.250
Sn: 0.403 0.000 0.750
Sn: 0.403 0.403 0.250
Sn: 0.597 0.000 0.250
Sn: 0.597 0.597 0.750

Calculated values
For the density of states at the Fermi level, the calculation gives 1.2844 states/eV/atom. The value obtained for the energy above the lowest structure with this stoichiometry is 0 meV per atom. For the formation enthalpy at 0 K, the calculation gives -0.56 eV/atom. Its calculated volume is 510.0 Å³/cell.



Number 1: total DFT energy (no corrections) -5.6617 eV per atom. Number 2: total DFT energy (no corrections) -4.9312 eV per atom. Number 3: total DFT energy (no corrections) -4.8478 eV per atom. Number 4: total DFT energy (no corrections) -5.3555 eV per atom. Number 5: total DFT energy (no corrections) -5.6808 eV per atom. Number 6: total DFT energy (no corrections) -5.4212 eV per atom. Number 7: total DFT energy (no corrections) -5.1473 eV per atom. Number 8: total DFT energy (no corrections) -5.1847 eV per atom.